[1]
# YTcIN2

A relaxed structure of YTcIN2 (PBE-GGA, Alexandria).

```
data_YTcIN2
_symmetry_space_group_name_H-M 'P 4/m m m'
_symmetry_Int_Tables_number 123
_symmetry_space_group_name_Hall '-P 4 2'
_cell_length_a 4.071
_cell_length_b 4.071
_cell_length_c 5.323
_cell_angle_alpha 90.00
_cell_angle_beta 90.00
_cell_angle_gamma 90.00
loop_
_atom_site_label
_atom_site_type_symbol
_atom_site_fract_x
_atom_site_fract_y
_atom_site_fract_z
_atom_site_occupancy
Y1 Y 0.000 0.000 0.000 1
Tc1 Tc 0.500 0.500 0.500 1
I1 I 0.500 0.500 0.000 1
N1 N 0.000 0.500 0.500 1
```

## Properties
**Fermi-level density of states**: 0.555 states/eV per atom
**Excess energy over the best structure of this formula in the dataset**: 0.00 eV/f.u.

[2]
# HgRhCl2

A relaxed structure of HgRhCl2 (PBE-GGA, Alexandria).

```
data_HgRhCl2
_symmetry_space_group_name_H-M 'R -3 m'
_symmetry_Int_Tables_number 166
_symmetry_space_group_name_Hall '-R 3 2"'
_cell_length_a 3.0777
_cell_length_b 3.0777
_cell_length_c 32.1114
_cell_angle_alpha 90.00
_cell_angle_beta 90.00
_cell_angle_gamma 120.00
loop_
_atom_site_label
_atom_site_type_symbol
_atom_site_fract_x
_atom_site_fract_y
_atom_site_fract_z
_atom_site_occupancy
Hg1 Hg 0.0000 0.0000 0.0000 1
Rh1 Rh 0.0000 0.0000 0.5000 1
Cl1 Cl 0.0000 0.0000 0.4311 1
```

## Properties
**Fermi-level density of states**: 1.643 states/eV per atom
**Excess energy over the best structure of this formula in the dataset**: 1.33 eV/f.u.

[3]
# PrY2Pu3Se6

A relaxed structure of PrY2Pu3Se6 (PBE-GGA, Alexandria).

```
data_PrY2Pu3Se6
_symmetry_space_group_name_H-M 'C 1 2/m 1'
_symmetry_Int_Tables_number 12
_symmetry_space_group_name_Hall '-C 2y'
_cell_length_a 18.061
_cell_length_b 4.138
_cell_length_c 8.294
_cell_angle_alpha 90.00
_cell_angle_beta 102.82
_cell_angle_gamma 90.00
loop_
_atom_site_label
_atom_site_type_symbol
_atom_site_fract_x
_atom_site_fract_y
_atom_site_fract_z
_atom_site_occupancy
Pr1 Pr 0.000 0.000 0.000 1
Y1 Y 0.167 0.500 0.336 1
Pu1 Pu 0.000 0.000 0.500 1
Pu2 Pu 0.165 0.500 0.835 1
Se1 Se 0.002 0.500 0.259 1
Se2 Se 0.168 0.000 0.582 1
Se3 Se 0.170 0.000 0.089 1
```

## Properties
**Fermi-level density of states**: 2.316 states/eV per atom
**Total DFT energy (no corrections)**: -8.48 eV per atom

[4]
# CaSi2Pd4

A relaxed structure of CaSi2Pd4 (PBE-GGA, Alexandria).

```
data_CaSi2Pd4
_symmetry_space_group_name_H-M 'P n m a'
_symmetry_Int_Tables_number 62
_symmetry_space_group_name_Hall '-P 2ac 2n'
_cell_length_a 17.285
_cell_length_b 4.161
_cell_length_c 6.457
_cell_angle_alpha 90.00
_cell_angle_beta 90.00
_cell_angle_gamma 90.00
loop_
_atom_site_label
_atom_site_type_symbol
_atom_site_fract_x
_atom_site_fract_y
_atom_site_fract_z
_atom_site_occupancy
Ca1 Ca 0.139 0.250 0.018 1
Si1 Si 0.040 0.750 0.259 1
Si2 Si 0.211 0.250 0.564 1
Pd1 Pd 0.026 0.750 0.858 1
Pd2 Pd 0.071 0.250 0.507 1
Pd3 Pd 0.180 0.750 0.341 1
Pd4 Pd 0.210 0.750 0.761 1
```

## Properties
**Fermi-level density of states**: 0.401 states/eV per atom
**Excess energy over the best structure of this formula in the dataset**: 0.24 eV/f.u.